# 1
Here is a geometry-optimized CsAlPS2 structure from Alexandria. Energies are from GGA-PBEsol.

The structure belongs to space group P4/mmm (No. 123); the cell edges are 4.8549, 4.8549 and 4.7470 Å and the angles 90.00°, 90.00° and 90.00°. Symmetry generates all atoms from Cs at (0.0000, 0.0000, 0.0000), Al at (0.5000, 0.5000, 0.5000), P at (0.5000, 0.5000, 0.0000) and S at (0.0000, 0.5000, 0.5000).

Its energy relative to the lowest polymorph listed for this composition is 0 meV/atom. The calculation puts the uncorrected formation energy at -0.235 eV per atom.



# 2
Here is a geometry-optimized CsAlPS2 structure from Alexandria. Energies are from GGA-PBEsol.

The structure belongs to space group P4/mmm (No. 123); the cell edges are 5.4836, 5.4836 and 5.6117 Å and the angles 90.00°, 90.00° and 90.00°. Symmetry generates all atoms from Cs at (0.0000, 0.0000, 0.0000), Al at (0.5000, 0.5000, 0.5000), P at (0.0000, 0.0000, 0.5000) and S at (0.0000, 0.5000, 0.0000).

Its energy relative to the lowest polymorph listed for this composition is 1740 meV/atom. The calculation puts the uncorrected formation energy at 1.505 eV per atom.



# 3
Here is a geometry-optimized CsAl3Pd structure from Alexandria. Energies are from GGA-PBEsol.

The structure belongs to space group Pm-3m (No. 221); the cell edges are 4.8974, 4.8974 and 4.8974 Å and the angles 90.00°, 90.00° and 90.00°. Symmetry generates all atoms from Cs at (0.0000, 0.0000, 0.0000), Al at (0.0000, 0.5000, 0.5000) and Pd at (0.5000, 0.5000, 0.5000).

Its formation energy from the elements is 1 kJ/mol of formula units.



# 4
Here is a geometry-optimized CsAlPd2 structure from Alexandria. Energies are from GGA-PBEsol.

The structure belongs to space group Fm-3m (No. 225); the cell edges are 6.9529, 6.9529 and 6.9529 Å and the angles 90.00°, 90.00° and 90.00°. Symmetry generates all atoms from Cs at (0.0000, 0.0000, 0.0000), Al at (0.0000, 0.0000, 0.5000) and Pd at (0.2500, 0.2500, 0.2500).

Its formation energy from the elements is 174 kJ/mol of formula units.



no.,calculated total energy (eV per formula unit)
1,-20.769
2,-12.069
3,-19.166
4,-15.148